Record 1
Below is crystalline SrZnGaPd at its relaxed geometry, with properties calculated at the PBE-GGA level.

Results
calculated density: 5.85 Mg/m³
SG: Cm, No. 8
crystal system: monoclinic

a = 4.4430 Å, b = 4.4430 Å, c = 6.0313 Å
α = 111.53°, β = 111.53°, γ = 60.01°
Fractional positions:
Sr  0.0000  0.0000  0.0000
Zn  0.5242  0.5242  0.5726
Ga  0.8038  0.8038  0.4112
Pd  0.1911  0.1911  0.5734

=====

Record 2
Below is crystalline Ba2SrLa at its relaxed geometry, with properties calculated at the PBE-GGA level.

Results
distance to the lowest polymorph of the same formula: 45 meV per atom
calculated density: 3.99 Mg/m³
SG: Cmmm, No. 65
crystal system: orthorhombic

a = 7.3448 Å, b = 7.3448 Å, c = 4.1116 Å
α = 90.00°, β = 90.00°, γ = 109.98°
Fractional positions:
Ba  0.0000  0.5000  0.0000
Ba  0.5000  0.0000  0.0000
Sr  0.0000  0.0000  0.5000
La  0.5000  0.5000  0.5000

=====

Record 3
Below is crystalline Sr3CaAc2Se6 at its relaxed geometry, with properties calculated at the PBE-GGA level.

Results
energy relative to the elements, uncorrected: -1.9642 eV/atom
calculated density: 5.58 Mg/m³
SG: C2/m, No. 12
crystal system: monoclinic

a = 9.8949 Å, b = 9.8949 Å, c = 8.8731 Å
α = 103.21°, β = 103.21°, γ = 25.72°
Fractional positions:
Sr  0.0000  0.0000  0.0000
Sr  0.3335  0.3335  0.6650
Sr  0.6665  0.6665  0.3350
Ca  0.0000  0.0000  0.5000
Ac  0.3330  0.3330  0.1653
Ac  0.6670  0.6670  0.8347
Se  0.1631  0.1631  0.5799
Se  0.1649  0.1649  0.0874
Se  0.4999  0.4999  0.2602
Se  0.5001  0.5001  0.7398
Se  0.8351  0.8351  0.9126
Se  0.8369  0.8369  0.4201

=====

Record 4
Below is crystalline Li5NdPd2 at its relaxed geometry, with properties calculated at the PBE-GGA level.

Results
calculated density: 4.22 Mg/m³
SG: Immm, No. 71
crystal system: orthorhombic

a = 6.5805 Å, b = 6.5805 Å, c = 6.5805 Å
α = 144.98°, β = 102.91°, γ = 87.57°
Fractional positions:
Li  0.0000  0.0000  0.0000
Li  0.0164  0.3337  0.6827
Li  0.3490  0.6663  0.6827
Li  0.6510  0.3337  0.3173
Li  0.9836  0.6663  0.3173
Nd  0.5000  0.0000  0.5000
Pd  0.2732  0.2732  0.0000
Pd  0.7268  0.7268  0.0000

=====

Record 5
Below is crystalline NaCaSeBr2 at its relaxed geometry, with properties calculated at the PBE-GGA level.

Results
energy relative to the elements, uncorrected: -0.8907 eV/atom
distance to the lowest polymorph of the same formula: 305 meV per atom
calculated density: 3.33 Mg/m³
SG: P4/mmm, No. 123
crystal system: tetragonal

a = 5.2407 Å, b = 5.2407 Å, c = 5.4852 Å
α = 90.00°, β = 90.00°, γ = 90.00°
Fractional positions:
Na  0.0000  0.0000  0.0000
Ca  0.5000  0.5000  0.5000
Se  0.0000  0.0000  0.5000
Br  0.0000  0.5000  0.0000
Br  0.5000  0.0000  0.0000

=====

Record 6
Below is crystalline Mn3SiH at its relaxed geometry, with properties calculated at the PBE-GGA level.

Results
distance to the lowest polymorph of the same formula: 565 meV per atom
calculated density: 5.97 Mg/m³
SG: R3m, No. 160
crystal system: trigonal

a = 4.4380 Å, b = 4.4380 Å, c = 4.4380 Å
α = 113.78°, β = 113.78°, γ = 113.78°
Fractional positions:
Mn  0.1936  0.1936  0.6128
Mn  0.1936  0.6128  0.1936
Mn  0.6128  0.1936  0.1936
Si  0.8506  0.8506  0.8506
H  0.3647  0.3647  0.3647

=====

Record 7
Below is crystalline Zn3InSb3 at its relaxed geometry, with properties calculated at the PBE-GGA level.

Results
energy relative to the elements, uncorrected: 0.0255 eV/atom
calculated density: 6.04 Mg/m³
SG: R-3, No. 148
crystal system: trigonal

a = 8.8117 Å, b = 8.8117 Å, c = 8.8117 Å
α = 50.20°, β = 50.20°, γ = 50.20°
Fractional positions:
Zn  0.1381  0.7870  0.4694
Zn  0.2130  0.5306  0.8619
Zn  0.4694  0.1381  0.7870
Zn  0.5306  0.8619  0.2130
Zn  0.7870  0.4694  0.1381
Zn  0.8619  0.2130  0.5306
In  0.3370  0.3370  0.3370
In  0.6630  0.6630  0.6630
Sb  0.0752  0.4126  0.7574
Sb  0.2426  0.9248  0.5874
Sb  0.4126  0.7574  0.0752
Sb  0.5874  0.2426  0.9248
Sb  0.7574  0.0752  0.4126
Sb  0.9248  0.5874  0.2426

=====

Record 8
Below is crystalline SrSc3Ti at its relaxed geometry, with properties calculated at the PBE-GGA level.

Results
distance to the lowest polymorph of the same formula: 1085 meV per atom
calculated density: 3.41 Mg/m³
SG: Pm-3m, No. 221
crystal system: cubic

a = 5.0851 Å, b = 5.0851 Å, c = 5.0851 Å
α = 90.00°, β = 90.00°, γ = 90.00°
Fractional positions:
Sr  0.0000  0.0000  0.0000
Sc  0.0000  0.0000  0.5000
Sc  0.0000  0.5000  0.0000
Sc  0.5000  0.0000  0.0000
Ti  0.5000  0.5000  0.5000

=====

Record 9
Below is crystalline Tc3BiO12 at its relaxed geometry, with properties calculated at the PBE-GGA level.

Results
energy relative to the elements, uncorrected: -1.3404 eV/atom
calculated density: 3.07 Mg/m³
SG: R3c, No. 161
crystal system: trigonal

a = 11.4381 Å, b = 11.4381 Å, c = 11.4381 Å
α = 47.79°, β = 47.79°, γ = 47.79°
Fractional positions:
Tc  0.0255  0.3195  0.6549
Tc  0.1549  0.8195  0.5255
Tc  0.3195  0.6549  0.0255
Tc  0.5255  0.1549  0.8195
Tc  0.6549  0.0255  0.3195
Tc  0.8195  0.5255  0.1549
Bi  0.2449  0.2449  0.2449
Bi  0.7449  0.7449  0.7449
O  0.0259  0.4285  0.1480
O  0.0652  0.3429  0.4620
O  0.1480  0.0259  0.4285
O  0.1765  0.7004  0.7154
O  0.2004  0.6765  0.2154
O  0.2154  0.2004  0.6765
O  0.2156  0.8277  0.8905
O  0.3277  0.7156  0.3905
O  0.3429  0.4620  0.0652
O  0.3905  0.3277  0.7156
O  0.4285  0.1480  0.0259
O  0.4620  0.0652  0.3429
O  0.5259  0.6480  0.9285
O  0.5652  0.9620  0.8429
O  0.6480  0.9285  0.5259
O  0.6765  0.2154  0.2004
O  0.7004  0.7154  0.1765
O  0.7154  0.1765  0.7004
O  0.7156  0.3905  0.3277
O  0.8277  0.8905  0.2156
O  0.8429  0.5652  0.9620
O  0.8905  0.2156  0.8277
O  0.9285  0.5259  0.6480
O  0.9620  0.8429  0.5652

=====

Record 10
Below is crystalline PmTh2Pa at its relaxed geometry, with properties calculated at the PBE-GGA level.

Results
distance to the lowest polymorph of the same formula: 188 meV per atom
calculated density: 11.23 Mg/m³
SG: R-3m, No. 166
crystal system: trigonal

a = 12.5665 Å, b = 12.5665 Å, c = 12.5665 Å
α = 15.55°, β = 15.55°, γ = 15.55°
Fractional positions:
Pm  0.0000  0.0000  0.0000
Th  0.0888  0.0888  0.0888
Th  0.9112  0.9112  0.9112
Pa  0.5000  0.5000  0.5000

=====

Electronic total energy across the listed records, respectively: -13.27; -9.81; -59.74; -27.35; -14.60; -34.67; -37.50; -21.04; -231.85; -27.95 eV for the cell shown.